Entry 1:
{"formula": "LiAcPrGa", "functional": "PBE-GGA", "state": "optimized geometry", "delta_e_f_ev_per_atom": -0.2417, "lattice": [[0.000, 3.854, 3.854], [3.854, 0.000, 3.854], [3.854, 3.854, 0.000]], "species": ["Li", "Ac", "Pr", "Ga"], "fractional_positions": [[0.000, 0.000, 0.000], [0.250, 0.250, 0.250], [0.750, 0.750, 0.750], [0.500, 0.500, 0.500]]}

Entry 2:
{"formula": "Mn3Se2S4", "functional": "PBE-GGA", "state": "optimized geometry", "e_form_raw_ev_per_atom": -0.397, "lattice": [[3.140, 0.000, 0.000], [-1.570, 2.719, 0.000], [0.000, 0.000, 19.990]], "species": ["Mn", "Mn", "Mn", "Se", "Se", "S", "S", "S", "S"], "fractional_positions": [[0.000, 0.000, 0.000], [0.333, 0.667, 0.327], [0.333, 0.667, 0.673], [0.333, 0.667, 0.078], [0.333, 0.667, 0.922], [0.000, 0.000, 0.257], [0.000, 0.000, 0.398], [0.000, 0.000, 0.602], [0.000, 0.000, 0.743]]}

Entry 3:
{"formula": "KNaHfSe3", "functional": "PBE-GGA", "state": "optimized geometry", "e_form_raw_ev_per_atom": -1.277, "lattice": [[3.795, -7.200, 0.000], [3.795, 7.200, 0.000], [0.000, 0.000, 7.175]], "species": ["K", "K", "Na", "Na", "Hf", "Hf", "Se", "Se", "Se", "Se", "Se", "Se"], "fractional_positions": [[0.236, 0.764, 0.750], [0.764, 0.236, 0.250], [0.425, 0.575, 0.250], [0.575, 0.425, 0.750], [0.056, 0.944, 0.250], [0.944, 0.056, 0.750], [0.228, 0.772, 0.250], [0.233, 0.233, 0.000], [0.233, 0.233, 0.500], [0.767, 0.767, 0.000], [0.767, 0.767, 0.500], [0.772, 0.228, 0.750]]}

Entry 4:
{"formula": "InW4Au", "functional": "PBE-GGA", "state": "optimized geometry", "delta_e_f_ev_per_atom": 0.6842, "lattice": [[0.000, 3.794, 3.794], [3.794, 0.000, 3.794], [3.794, 3.794, 0.000]], "species": ["In", "W", "W", "W", "W", "Au"], "fractional_positions": [[0.000, 0.000, 0.000], [0.126, 0.625, 0.625], [0.625, 0.126, 0.625], [0.625, 0.625, 0.126], [0.625, 0.625, 0.625], [0.250, 0.250, 0.250]]}

no.,V (Å³ per atom)
1,28.61
2,18.97
3,32.68
4,18.20